No. 1
{"formula": "Ta4Nb2Mo", "functional": "PBE", "state": "optimized geometry", "ef_mev_per_atom": -42, "de_polymorph_ev_per_atom": 0.0000, "sg": "P-1 (2)", "lattice_angstrom": [[2.656, -0.842, 0.681], [-0.762, 6.747, 2.910], [0.144, 0.133, 7.353]], "species": ["Ta", "Ta", "Ta", "Nb", "Nb", "Mo", "Ta"], "frac_coords": [[0.705, 0.424, 0.859], [0.153, 0.284, 0.577], [0.295, 0.576, 0.141], [0.588, 0.141, 0.285], [0.412, 0.859, 0.715], [0.000, 0.000, 0.000], [0.847, 0.716, 0.423]]}

---

No. 2
{"formula": "TmAlS3", "functional": "PBE", "state": "optimized geometry", "e_form_raw_mev_per_atom": -1566, "sg": "Ama2 (40)", "lattice_angstrom": [[-0.730, 3.742, 0.406], [-5.648, -0.806, -2.721], [-1.756, -1.585, 11.456]], "species": ["S", "S", "S", "S", "Tm", "S", "Al", "Tm", "S", "Al"], "frac_coords": [[0.250, 0.709, 0.441], [0.250, 0.129, 0.249], [0.250, 0.426, 0.827], [0.750, 0.268, 0.559], [0.750, 0.398, 0.353], [0.750, 0.599, 0.173], [0.250, 0.780, 0.257], [0.250, 0.045, 0.647], [0.750, 0.880, 0.751], [0.750, 0.524, 0.743]]}

---

No. 3
{"formula": "TaNbSN2", "functional": "PBE", "state": "optimized geometry", "e_form_raw_mev_per_atom": 585, "de_polymorph_ev_per_atom": 0.3700, "sg": "P4/mmm (123)", "lattice_angstrom": [[3.989, 0.000, 0.000], [0.000, 3.989, 0.000], [0.000, 0.000, 4.838]], "species": ["N", "Ta", "Nb", "N", "S"], "frac_coords": [[0.500, 0.000, 0.000], [0.500, 0.500, 0.500], [0.000, 0.000, 0.000], [0.000, 0.500, 0.000], [0.000, 0.000, 0.500]]}

---

Which formula does entry 3 have?
TaNbSN2

---

Copy entry 1 word for word.
{"formula": "Ta4Nb2Mo", "functional": "PBE", "state": "optimized geometry", "ef_mev_per_atom": -42, "de_polymorph_ev_per_atom": 0.0000, "sg": "P-1 (2)", "lattice_angstrom": [[2.656, -0.842, 0.681], [-0.762, 6.747, 2.910], [0.144, 0.133, 7.353]], "species": ["Ta", "Ta", "Ta", "Nb", "Nb", "Mo", "Ta"], "frac_coords": [[0.705, 0.424, 0.859], [0.153, 0.284, 0.577], [0.295, 0.576, 0.141], [0.588, 0.141, 0.285], [0.412, 0.859, 0.715], [0.000, 0.000, 0.000], [0.847, 0.716, 0.423]]}

---

What did the second record say?
{"formula": "TmAlS3", "functional": "PBE", "state": "optimized geometry", "e_form_raw_mev_per_atom": -1566, "sg": "Ama2 (40)", "lattice_angstrom": [[-0.730, 3.742, 0.406], [-5.648, -0.806, -2.721], [-1.756, -1.585, 11.456]], "species": ["S", "S", "S", "S", "Tm", "S", "Al", "Tm", "S", "Al"], "frac_coords": [[0.250, 0.709, 0.441], [0.250, 0.129, 0.249], [0.250, 0.426, 0.827], [0.750, 0.268, 0.559], [0.750, 0.398, 0.353], [0.750, 0.599, 0.173], [0.250, 0.780, 0.257], [0.250, 0.045, 0.647], [0.750, 0.880, 0.751], [0.750, 0.524, 0.743]]}